Arrangement 1

## SrLi6Cd (GGA-PBE)

Data for SrLi6Cd after structural relaxation.

Geometry as CIF:
```
data_SrLi6Cd
_chemical_formula_sum 'Sr2 Li12 Cd2'
_symmetry_space_group_name_H-M 'A m m 2'
_symmetry_Int_Tables_number 38
_symmetry_space_group_name_Hall 'A 2 -2'
_cell_length_a 4.8352
_cell_length_b 7.6263
_cell_length_c 10.2073
_cell_angle_alpha 90.00
_cell_angle_beta 90.00
_cell_angle_gamma 90.00
loop_
_atom_site_label
_atom_site_fract_x
_atom_site_fract_y
_atom_site_fract_z
Sr1 0.0000 0.0000 0.0000
Li1 0.0000 0.2485 0.2511
Li2 0.5000 0.0000 0.2746
Li3 0.5000 0.0000 0.7285
Li4 0.5000 0.2026 0.5018
Cd1 0.0000 0.0000 0.5013
```

Arrangement 2

## SrLi6Cd (GGA-PBE)

Data for SrLi6Cd after structural relaxation.

Geometry as CIF:
```
data_SrLi6Cd
_chemical_formula_sum 'Sr1 Li6 Cd1'
_symmetry_space_group_name_H-M 'P 4/m m m'
_symmetry_Int_Tables_number 123
_symmetry_space_group_name_Hall '-P 4 2'
_cell_length_a 4.9324
_cell_length_b 4.9324
_cell_length_c 8.5336
_cell_angle_alpha 90.00
_cell_angle_beta 90.00
_cell_angle_gamma 90.00
loop_
_atom_site_label
_atom_site_fract_x
_atom_site_fract_y
_atom_site_fract_z
Sr1 0.0000 0.0000 0.0000
Li1 0.0000 0.5000 0.3347
Li2 0.5000 0.5000 0.1621
Cd1 0.0000 0.0000 0.5000
```

Which one sits at the top of the stability order? arrangement 1 does.

Arrangement 1

## SrLi4Cd2 (GGA-PBE)

Data for SrLi4Cd2 after structural relaxation.

Geometry as CIF:
```
data_SrLi4Cd2
_chemical_formula_sum 'Sr2 Li8 Cd4'
_symmetry_space_group_name_H-M 'I 4/m m m'
_symmetry_Int_Tables_number 139
_symmetry_space_group_name_Hall '-I 4 2'
_cell_length_a 7.2704
_cell_length_b 7.2704
_cell_length_c 7.2908
_cell_angle_alpha 90.00
_cell_angle_beta 90.00
_cell_angle_gamma 90.00
loop_
_atom_site_label
_atom_site_fract_x
_atom_site_fract_y
_atom_site_fract_z
Sr1 0.0000 0.0000 0.0000
Li1 0.0000 0.2471 0.5000
Cd1 0.0000 0.5000 0.2500
```

Arrangement 2

## SrLi4Cd2 (GGA-PBE)

Data for SrLi4Cd2 after structural relaxation.

Geometry as CIF:
```
data_SrLi4Cd2
_chemical_formula_sum 'Sr2 Li8 Cd4'
_symmetry_space_group_name_H-M 'C 1 2/m 1'
_symmetry_Int_Tables_number 12
_symmetry_space_group_name_Hall '-C 2y'
_cell_length_a 9.3118
_cell_length_b 7.4281
_cell_length_c 5.9028
_cell_angle_alpha 90.00
_cell_angle_beta 129.12
_cell_angle_gamma 90.00
loop_
_atom_site_label
_atom_site_fract_x
_atom_site_fract_y
_atom_site_fract_z
Sr1 0.0000 0.0000 0.0000
Li1 0.1934 0.1918 0.6930
Cd1 0.0009 0.5000 0.2517
```

Which one sits at the top of the stability order? arrangement 2 does.